{
  "formula": "Ac2Zn3Cd4Ga",
  "functional": "PBE",
  "state": "relaxed",
  "dos_ef_per_ev_cell": 7.160,
  "delta_e_f_kcal_per_mol_atoms": -6.44,
  "lattice_angstrom": [[4.712, 0.000, 0.000], [0.000, 4.712, 0.000], [0.000, 0.000, 10.932]],
  "species": ["Cd", "Cd", "Cd", "Cd", "Zn", "Zn", "Zn", "Ga", "Ac", "Ac"],
  "frac_coords": [[0.500, 0.500, 0.000], [0.000, 0.500, 0.372], [0.000, 0.000, 0.000], [0.500, 0.000, 0.628], [0.000, 0.500, 0.132], [0.000, 0.000, 0.500], [0.500, 0.000, 0.868], [0.500, 0.500, 0.500], [0.500, 0.000, 0.258], [0.000, 0.500, 0.742]]
}